Nd3Al2VO9 PBE+U optimized geometry; energy = -119.25 eV per formula unit; symmetry = P-3m1; calculated density = 6.7 g/cm³
1.0
5.3933 0.0000 0.0000
-2.6966 4.6707 0.0000
0.0000 0.0000 6.6773
Nd Al V O
3 2 1 9
Cartesian
0.0000 3.1138 4.4888
0.0000 0.0000 0.0000
2.6966 1.5569 2.1885
0.0000 3.1138 1.0799
2.6966 1.5569 5.5974
0.0000 0.0000 3.3387
4.0145 0.7960 4.5141
2.6966 3.0787 4.5141
1.3787 0.7960 4.5141
1.3179 3.8747 2.1632
0.0000 1.5920 2.1632
-1.3179 3.8747 2.1632
2.6966 0.0000 0.0000
-1.3483 2.3354 0.0000
1.3483 2.3354 0.0000